(1)
Here is crystalline Ta2MoRu at its relaxed geometry from Alexandria. Energies are from GGA-PBEsol.

Output
**SG**: Fm-3m
**Crystal system**: cubic
**VASP energy**: -12.11 eV per atom

abc: 4.471 4.471 4.471
angles: 60.00 60.00 60.00
Positions (direct):
Ru 0.000 0.000 0.000
Mo 0.500 0.500 0.500
Ta 0.250 0.250 0.250
Ta 0.750 0.750 0.750

---

(2)
Here is crystalline TaTcMo2Ru at its relaxed geometry from Alexandria. Energies are from GGA-PBEsol.

Output
**SG**: P4/mmm
**Crystal system**: tetragonal
**VASP energy**: -9.76 eV per atom

abc: 4.503 4.503 4.688
angles: 90.00 90.00 90.00
Positions (direct):
Ru 0.500 0.500 0.500
Mo 0.000 0.500 0.000
Mo 0.500 0.000 0.000
Tc 0.000 0.000 0.000
Ta 0.000 0.000 0.500

---

(3)
Here is crystalline TcMoRu2 at its relaxed geometry from Alexandria. Energies are from GGA-PBEsol.

Output
**SG**: Pmmm
**Crystal system**: orthorhombic
**VASP energy**: -10.80 eV per atom

abc: 2.709 3.801 5.425
angles: 90.00 90.00 90.00
Positions (direct):
Ru 0.000 0.000 0.756
Ru 0.000 0.000 0.244
Mo 0.500 0.500 0.500
Tc 0.500 0.500 0.000

---

(4)
Here is crystalline TcMoRu2 at its relaxed geometry from Alexandria. Energies are from GGA-PBEsol.

Output
**SG**: Cmmm
**Crystal system**: orthorhombic
**VASP energy**: -10.80 eV per atom

abc: 2.710 4.671 4.671
angles: 109.22 90.00 90.00
Positions (direct):
Ru 0.000 0.500 0.000
Ru 0.000 0.000 0.500
Mo 0.500 0.500 0.500
Tc 0.500 0.000 0.000

---

(5)
Here is crystalline TcMoRu2 at its relaxed geometry from Alexandria. Energies are from GGA-PBEsol.

Output
**SG**: P4/mmm
**Crystal system**: tetragonal
**VASP energy**: -10.80 eV per atom

abc: 2.707 2.707 7.623
angles: 90.00 90.00 90.00
Positions (direct):
Ru 0.000 0.000 0.756
Ru 0.000 0.000 0.244
Mo 0.500 0.500 0.500
Tc 0.500 0.500 0.000

---

(6)
Here is crystalline TcMoRu2 at its relaxed geometry from Alexandria. Energies are from GGA-PBEsol.

Output
**SG**: C2/m
**Crystal system**: monoclinic
**VASP energy**: -10.76 eV per atom

abc: 2.701 4.684 4.689
angles: 99.49 90.00 106.76
Positions (direct):
Mo 0.000 0.000 0.500
Ru 0.752 0.505 0.759
Ru 0.248 0.495 0.241
Tc 0.500 0.000 0.000

---

(7)
Here is crystalline TcMoRu2 at its relaxed geometry from Alexandria. Energies are from GGA-PBEsol.

Output
**SG**: I4/mmm
**Crystal system**: tetragonal
**VASP energy**: -10.81 eV per atom

abc: 3.826 3.826 4.674
angles: 114.16 114.16 90.00
Positions (direct):
Ru 0.750 0.250 0.500
Ru 0.250 0.750 0.500
Mo 0.500 0.500 0.000
Tc 0.000 0.000 0.000

---

(8)
Here is crystalline TcMoRu2 at its relaxed geometry from Alexandria. Energies are from GGA-PBEsol.

Output
**SG**: Cm
**Crystal system**: monoclinic
**VASP energy**: -10.76 eV per atom

abc: 2.712 4.668 4.691
angles: 99.34 90.00 106.89
Positions (direct):
Mo 0.252 0.505 0.759
Ru 0.004 0.008 0.002
Ru 0.749 0.498 0.258
Tc 0.495 0.989 0.481

---

(9)
Here is crystalline Te4Mo2Ru at its relaxed geometry from Alexandria. Energies are from GGA-PBEsol.

Output
**SG**: P1
**Crystal system**: triclinic
**Uncorrected formation energy**: -0.280 eV per atom

abc: 6.968 7.006 7.025
angles: 92.40 93.30 94.74
Positions (direct):
Te 0.875 0.260 0.629
Te 0.274 0.615 0.877
Te 0.626 0.888 0.273
Te 0.126 0.741 0.373
Te 0.743 0.382 0.114
Te 0.371 0.113 0.740
Te 0.787 0.787 0.793
Te 0.198 0.206 0.205
Mo 0.758 0.588 0.454
Mo 0.416 0.549 0.245
Mo 0.541 0.248 0.411
Mo 0.244 0.412 0.542
Ru 0.585 0.450 0.757
Ru 0.456 0.761 0.589

---

(10)
Here is crystalline TeMoRu2 at its relaxed geometry from Alexandria. Energies are from GGA-PBEsol.

Output
**SG**: I-4m2
**Crystal system**: tetragonal
**Uncorrected formation energy**: 0.327 eV per atom

abc: 3.909 3.909 4.858
angles: 113.73 113.73 90.00
Positions (direct):
Mo 0.250 0.750 0.500
Ru 0.000 0.000 0.000
Ru 0.750 0.250 0.500
Te 0.500 0.500 0.000

---

(11)
Here is crystalline TeMoRu2 at its relaxed geometry from Alexandria. Energies are from GGA-PBEsol.

Output
**SG**: Cmmm
**Crystal system**: orthorhombic
**Uncorrected formation energy**: 0.404 eV per atom

abc: 2.955 4.650 4.650
angles: 103.98 90.00 90.00
Positions (direct):
Mo 0.500 0.500 0.500
Ru 0.000 0.500 0.000
Ru 0.000 0.000 0.500
Te 0.500 0.000 0.000

---

(12)
Here is crystalline TeMoRu2 at its relaxed geometry from Alexandria. Energies are from GGA-PBEsol.

Output
**SG**: Cm
**Crystal system**: monoclinic
**Uncorrected formation energy**: 0.310 eV per atom

abc: 2.978 4.604 4.863
angles: 96.39 107.83 90.00
Positions (direct):
Mo 0.733 0.213 0.466
Ru 0.999 0.007 0.999
Ru 0.266 0.764 0.531
Te 0.502 0.517 0.004

---

Please write out number 9 again, unchanged.
Here is crystalline Te4Mo2Ru at its relaxed geometry from Alexandria. Energies are from GGA-PBEsol.

Output
**SG**: P1
**Crystal system**: triclinic
**Uncorrected formation energy**: -0.280 eV per atom

abc: 6.968 7.006 7.025
angles: 92.40 93.30 94.74
Positions (direct):
Te 0.875 0.260 0.629
Te 0.274 0.615 0.877
Te 0.626 0.888 0.273
Te 0.126 0.741 0.373
Te 0.743 0.382 0.114
Te 0.371 0.113 0.740
Te 0.787 0.787 0.793
Te 0.198 0.206 0.205
Mo 0.758 0.588 0.454
Mo 0.416 0.549 0.245
Mo 0.541 0.248 0.411
Mo 0.244 0.412 0.542
Ru 0.585 0.450 0.757
Ru 0.456 0.761 0.589